{"formula": "Be2SiSe", "functional": "GGA-PBE", "state": "optimized geometry", "magnetic_moment_mub_per_fu": 0.0, "sg": "No. 65", "e_tot_ev_per_atom": -3.527, "de_polymorph_mev_per_atom": 456.5, "raw_formation_energy_ev_per_atom": 0.563, "lattice": [[-2.123, -3.387, 1.420], [4.060, -1.227, -0.077], [0.360, 1.007, 2.941]], "species": ["Be", "Si", "Se", "Be"], "fractional_positions": [[0.000, 0.000, 0.000], [0.000, 0.500, 0.500], [0.500, 0.000, 0.500], [0.500, 0.500, 0.000]]}

{"formula": "BeSi4Se", "functional": "GGA-PBE", "state": "optimized geometry", "magnetic_moment_mub_per_fu": 0.0, "sg": "No. 216", "e_tot_ev_per_atom": -4.085, "raw_formation_energy_ev_per_atom": 0.732, "lattice": [[1.263, 0.236, 4.955], [-2.187, -3.190, 3.353], [2.749, -3.760, 2.123]], "species": ["Si", "Si", "Si", "Be", "Se", "Si"], "fractional_positions": [[0.624, 0.624, 0.624], [0.624, 0.624, 0.127], [0.127, 0.624, 0.624], [0.250, 0.250, 0.250], [0.000, 0.000, 0.000], [0.624, 0.127, 0.624]]}

{"formula": "BeSiSe2", "functional": "GGA-PBE", "state": "optimized geometry", "magnetic_moment_mub_per_fu": 0.0, "sg": "No. 12", "e_tot_ev_per_atom": -4.076, "de_polymorph_mev_per_atom": 361.1, "raw_formation_energy_ev_per_atom": -0.046, "lattice": [[3.682, -0.013, 0.009], [1.849, 3.185, 0.009], [1.837, 1.053, 6.012]], "species": ["Se", "Si", "Se", "Be"], "fractional_positions": [[0.009, 0.009, 0.973], [0.250, 0.250, 0.250], [0.491, 0.491, 0.527], [0.750, 0.750, 0.750]]}

{"formula": "Be2SiSe", "functional": "GGA-PBE", "state": "optimized geometry", "magnetic_moment_mub_per_fu": 0.0, "sg": "No. 123", "e_tot_ev_per_atom": -3.562, "de_polymorph_mev_per_atom": 421.5, "raw_formation_energy_ev_per_atom": 0.528, "lattice": [[-1.903, -1.570, -2.154], [1.801, -2.709, 0.383], [-3.090, -1.513, 3.831]], "species": ["Si", "Se", "Be", "Be"], "fractional_positions": [[0.500, 0.500, 0.750], [0.500, 0.500, 0.250], [0.000, 0.000, 0.542], [0.000, 0.000, 0.958]]}

{"formula": "BeSi2Se", "functional": "GGA-PBE", "state": "optimized geometry", "magnetic_moment_mub_per_fu": 0.0, "sg": "No. 71", "e_tot_ev_per_atom": -4.063, "de_polymorph_mev_per_atom": 673.2, "raw_formation_energy_ev_per_atom": 0.451, "lattice": [[5.902, 0.047, 0.034], [5.334, 2.528, 0.034], [1.814, 0.416, 4.280]], "species": ["Be", "Si", "Se", "Si"], "fractional_positions": [[0.750, 0.750, 0.750], [0.052, 0.052, 0.948], [0.250, 0.250, 0.250], [0.448, 0.448, 0.552]]}

{"formula": "BeSi2Se", "functional": "GGA-PBE", "state": "optimized geometry", "magnetic_moment_mub_per_fu": 0.0, "sg": "No. 35", "e_tot_ev_per_atom": -4.061, "de_polymorph_mev_per_atom": 676.0, "raw_formation_energy_ev_per_atom": 0.453, "lattice": [[2.830, -0.058, 0.000], [-0.847, 2.701, 0.000], [0.000, 0.000, 8.903]], "species": ["Se", "Si", "Be", "Si"], "fractional_positions": [[0.500, 0.500, 0.665], [0.000, 0.000, 0.063], [0.000, 0.000, 0.487], [0.500, 0.500, 0.285]]}

{"formula": "BeSiSe4", "functional": "GGA-PBE", "state": "optimized geometry", "magnetic_moment_mub_per_fu": 0.0, "sg": "No. 216", "e_tot_ev_per_atom": -2.840, "raw_formation_energy_ev_per_atom": 1.008, "lattice": [[-0.999, -5.409, -1.193], [-5.010, -1.553, -2.041], [-0.464, -1.661, -5.358]], "species": ["Be", "Se", "Se", "Si", "Se", "Se"], "fractional_positions": [[0.000, 0.000, 0.000], [0.374, 0.878, 0.374], [0.878, 0.374, 0.374], [0.750, 0.750, 0.750], [0.374, 0.374, 0.374], [0.374, 0.374, 0.878]]}

{"formula": "BeSi3Se", "functional": "GGA-PBE", "state": "optimized geometry", "magnetic_moment_mub_per_fu": 0.0, "sg": "No. 221", "e_tot_ev_per_atom": -3.200, "de_polymorph_mev_per_atom": 844.2, "raw_formation_energy_ev_per_atom": 1.496, "lattice": [[4.785, 0.000, 0.000], [0.000, 4.785, 0.000], [0.000, 0.000, 4.785]], "species": ["Si", "Be", "Si", "Si", "Se"], "fractional_positions": [[0.500, 0.000, 0.000], [0.500, 0.500, 0.500], [0.000, 0.000, 0.500], [0.000, 0.500, 0.000], [0.000, 0.000, 0.000]]}

{"formula": "Be2SiSe", "functional": "GGA-PBE", "state": "optimized geometry", "magnetic_moment_mub_per_fu": 0.0, "sg": "No. 12", "e_tot_ev_per_atom": -3.625, "de_polymorph_mev_per_atom": 358.9, "raw_formation_energy_ev_per_atom": 0.465, "lattice": [[4.189, 0.016, 0.007], [-0.905, 4.090, 0.007], [1.004, 1.255, 3.381]], "species": ["Be", "Se", "Si", "Be"], "fractional_positions": [[0.000, 0.000, 0.000], [0.500, 0.000, 0.500], [0.000, 0.500, 0.500], [0.500, 0.500, 0.000]]}

{"formula": "BeSiSe2", "functional": "GGA-PBE", "state": "optimized geometry", "magnetic_moment_mub_per_fu": 0.0, "sg": "No. 47", "e_tot_ev_per_atom": -3.320, "de_polymorph_mev_per_atom": 1116.6, "raw_formation_energy_ev_per_atom": 0.709, "lattice": [[3.077, 0.000, 0.000], [0.000, 4.480, 0.000], [0.000, 0.000, 5.011]], "species": ["Si", "Se", "Be", "Se"], "fractional_positions": [[0.500, 0.000, 0.500], [0.500, 0.500, 0.000], [0.000, 0.500, 0.500], [0.000, 0.000, 0.000]]}

{"formula": "Be2SiSe", "functional": "GGA-PBE", "state": "optimized geometry", "magnetic_moment_mub_per_fu": 0.0, "sg": "No. 122", "e_tot_ev_per_atom": -3.951, "de_polymorph_mev_per_atom": 32.7, "raw_formation_energy_ev_per_atom": 0.139, "lattice": [[5.410, 0.000, 0.000], [0.000, 5.410, 0.000], [2.705, 2.705, 4.693]], "species": ["Be", "Be", "Be", "Se", "Se", "Be", "Si", "Si"], "fractional_positions": [[0.875, 0.889, 0.750], [0.111, 0.625, 0.250], [0.639, 0.125, 0.250], [0.750, 0.250, 0.500], [0.000, 0.000, 0.000], [0.375, 0.361, 0.750], [0.250, 0.750, 0.500], [0.500, 0.500, 0.000]]}

{"formula": "BeSi2Se", "functional": "GGA-PBE", "state": "optimized geometry", "magnetic_moment_mub_per_fu": 0.0, "sg": "No. 47", "e_tot_ev_per_atom": -3.920, "de_polymorph_mev_per_atom": 816.4, "raw_formation_energy_ev_per_atom": 0.594, "lattice": [[2.622, 0.000, 0.000], [0.000, 4.883, 0.000], [0.000, 0.000, 4.898]], "species": ["Se", "Si", "Be", "Si"], "fractional_positions": [[0.500, 0.500, 0.750], [0.000, 0.000, 0.010], [0.500, 0.500, 0.250], [0.000, 0.000, 0.490]]}